Entry 1:
Density functional theory data (PBE) for a relaxed NiRh2Se crystal.

## Properties
ΔE to the lowest computed polymorph: 0.1268 eV per atom
Crystal system: monoclinic
Raw formation energy: 0.21 eV per atom
Density of states at the Fermi level: 3.137 states/eV per cell

```
NiRh2Se
1.0
-2.315 -3.538 1.679
5.102 -0.737 -0.657
1.178 0.421 2.559
Ni Se Rh
1 1 2
Cartesian
1.394 -2.137 0.511
3.140 -0.158 0.951
-0.569 -1.558 2.119
0.000 0.000 0.000
```

Entry 2:
Density functional theory data (PBE) for a relaxed NiRh2Se crystal.

## Properties
ΔE to the lowest computed polymorph: 0.2781 eV per atom
Crystal system: orthorhombic
Raw formation energy: 0.36 eV per atom
Density of states at the Fermi level: 6.454 states/eV per cell

```
NiRh2Se
1.0
-0.624 -2.614 0.671
0.592 0.580 -2.643
8.392 -1.610 1.527
Se Rh Ni
1 2 1
Cartesian
2.082 -1.420 -0.604
4.260 -0.817 0.775
8.327 -1.598 1.516
6.278 -2.225 0.160
```

Entry 3:
Density functional theory data (PBE) for a relaxed NiRhSe2 crystal.

## Properties
Crystal system: monoclinic
Raw formation energy: 0.10 eV per atom
Density of states at the Fermi level: 3.324 states/eV per cell

```
NiRhSe2
1.0
-3.371 0.733 -2.859
-1.608 -3.160 2.739
-3.760 1.258 2.058
Ni Rh Se
1 1 2
Cartesian
-3.565 0.996 -0.401
-2.684 -0.951 2.399
0.000 0.000 0.000
-2.490 -1.213 -0.060
```

Entry 4:
Density functional theory data (PBE) for a relaxed Ni2RhSe crystal.

## Properties
ΔE to the lowest computed polymorph: 0.0559 eV per atom
Crystal system: orthorhombic
Raw formation energy: 0.13 eV per atom
Density of states at the Fermi level: 4.164 states/eV per cell

```
Ni2RhSe
1.0
-4.018 -0.745 4.281
3.865 -1.687 0.379
0.313 1.343 2.798
Ni Rh Se
2 1 1
Cartesian
-1.853 0.299 3.539
0.000 0.000 0.000
2.089 -0.172 1.588
-0.076 -1.216 2.330
```

Entry 5:
Density functional theory data (PBE) for a relaxed Ni4RhSe crystal.

## Properties
Crystal system: cubic
Raw formation energy: 0.27 eV per atom
Density of states at the Fermi level: 9.100 states/eV per cell

```
Ni4RhSe
1.0
2.297 0.031 4.172
-1.067 3.282 3.282
-2.281 -1.269 3.983
Ni Se Rh
4 1 1
Cartesian
0.747 0.783 6.371
-0.926 2.400 5.929
-1.529 0.137 6.278
-0.395 0.768 4.297
0.000 0.000 0.000
-0.789 1.533 8.578
```

Entry 6:
Density functional theory data (PBE) for a relaxed NiRh2Se4 crystal.

## Properties
ΔE to the lowest computed polymorph: 0.0000 eV per atom
Crystal system: trigonal
Raw formation energy: -0.40 eV per atom
Density of states at the Fermi level: 13.236 states/eV per cell

```
NiRh2Se4
1.0
-4.796 -2.090 5.015
-1.361 -1.165 -7.025
7.851 -9.067 3.730
Ni Rh Se
4 8 16
Cartesian
-2.555 -5.227 3.233
4.249 -7.095 -1.513
3.769 -8.715 2.590
-2.075 -3.607 -0.870
3.926 -4.533 1.865
-2.398 -1.045 2.507
0.847 -6.161 0.860
0.764 -2.789 2.186
2.291 -8.368 6.558
1.527 -5.578 4.372
0.000 0.000 0.000
-0.681 -0.583 -3.512
-1.116 -2.149 0.655
-4.331 -3.846 -0.396
-3.601 -3.168 3.091
1.996 -3.988 0.359
-0.302 -8.334 1.361
6.025 -8.477 2.116
5.294 -9.155 -1.371
2.723 -6.656 2.448
1.282 -4.595 -3.308
0.411 -7.728 5.028
-0.299 -4.988 2.758
1.992 -7.334 -1.038
-1.030 -5.667 -0.728
3.523 -9.567 4.732
2.809 -10.173 1.065
-1.829 -2.755 -3.012
```

Entry 7:
Density functional theory data (PBE) for a relaxed Ni2RhSe crystal.

## Properties
ΔE to the lowest computed polymorph: 0.0715 eV per atom
Crystal system: orthorhombic
Raw formation energy: 0.14 eV per atom
Density of states at the Fermi level: 4.905 states/eV per cell

```
Ni2RhSe
1.0
3.726 0.000 0.000
0.000 3.716 0.000
0.000 0.000 3.837
Rh Ni Se
1 2 1
Cartesian
1.863 0.000 1.919
0.000 0.000 0.000
1.863 1.858 0.000
0.000 1.858 1.919
```

Entry 8:
Density functional theory data (PBE) for a relaxed NiRh2Se crystal.

## Properties
ΔE to the lowest computed polymorph: 0.0145 eV per atom
Crystal system: monoclinic
Raw formation energy: 0.10 eV per atom
Density of states at the Fermi level: 6.254 states/eV per cell

```
NiRh2Se
1.0
-0.025 3.039 3.811
0.864 0.412 4.780
4.052 1.617 0.667
Rh Ni Se
2 1 1
Cartesian
3.488 3.792 7.084
0.976 3.462 8.496
1.116 1.165 2.136
2.594 2.633 4.762
```

Entry 9:
Density functional theory data (PBE) for a relaxed NiRh2Se crystal.

## Properties
ΔE to the lowest computed polymorph: 0.0041 eV per atom
Crystal system: monoclinic
Raw formation energy: 0.09 eV per atom
Density of states at the Fermi level: 4.878 states/eV per cell

```
NiRh2Se
1.0
-2.120 3.781 0.442
-1.391 2.559 3.240
3.437 3.050 0.436
Rh Se Ni
2 1 1
Cartesian
-3.476 6.361 3.681
-0.071 4.674 2.059
-0.056 7.042 3.088
-0.019 2.347 1.029
```

Entry 10:
Density functional theory data (PBE) for a relaxed NiRhSe2 crystal.

## Properties
Crystal system: orthorhombic
Raw formation energy: -0.22 eV per atom
Density of states at the Fermi level: 2.874 states/eV per cell

```
NiRhSe2
1.0
-3.997 -0.702 -2.249
-1.935 -0.472 3.587
-1.429 3.574 1.425
Se Ni Rh
2 1 1
Cartesian
-3.275 0.825 0.777
-2.936 2.708 4.374
-1.726 1.592 2.572
-4.471 1.928 2.558
```

Entry 11:
Density functional theory data (PBE) for a relaxed NiRhSe2 crystal.

## Properties
Crystal system: trigonal
Raw formation energy: -0.20 eV per atom
Density of states at the Fermi level: 2.226 states/eV per cell

```
NiRhSe2
1.0
6.832 -0.026 -0.016
5.852 3.526 -0.016
5.852 1.615 3.135
Se Rh Ni
2 1 1
Cartesian
3.874 1.069 0.648
0.541 0.149 0.091
14.038 3.873 2.350
9.353 2.581 1.566
```

Entry 12:
Density functional theory data (PBE) for a relaxed Ni3RhSe crystal.

## Properties
ΔE to the lowest computed polymorph: 0.0000 eV per atom
Crystal system: cubic
Raw formation energy: 0.64 eV per atom
Density of states at the Fermi level: 8.418 states/eV per cell

```
Ni3RhSe
1.0
4.284 0.000 0.000
0.000 4.284 0.000
0.000 0.000 4.284
Ni Rh Se
3 1 1
Cartesian
2.142 0.000 0.000
0.000 0.000 2.142
0.000 2.142 0.000
2.142 2.142 2.142
0.000 0.000 0.000
```

Entry 13:
Density functional theory data (PBE) for a relaxed NiRhSe2 crystal.

## Properties
Crystal system: monoclinic
Raw formation energy: -0.09 eV per atom
Density of states at the Fermi level: 3.322 states/eV per cell

```
NiRhSe2
1.0
3.594 0.015 -0.003
1.825 3.097 -0.003
1.777 1.020 5.938
Ni Se Rh
1 2 1
Cartesian
5.397 3.099 4.450
1.781 1.023 5.876
3.594 2.063 3.028
1.799 1.033 1.483
```

Calculated magnetic moment in order - 0.00; 0.61; 0.00; 0.49; 1.60; 0.00; 1.91; 0.00; 0.00; 0.00; 0.00; 1.91; 0.00 μB per formula unit